# Tb8PdAu2

Tb8PdAu2 after structural relaxation (GGA-PBE, Alexandria via LeMat-Bulk).

Structure (POSCAR):
```
Tb8PdAu2
1.0
8.832 -2.546 0.000
8.832 2.546 0.000
-1.429 0.000 6.695
Tb Pd Au
8 1 2
Direct
0.029 0.029 0.275
0.204 0.204 0.827
0.339 0.339 0.528
0.411 0.411 0.050
0.589 0.589 0.950
0.661 0.661 0.472
0.796 0.796 0.173
0.971 0.971 0.725
0.500 0.500 0.500
0.191 0.191 0.239
0.809 0.809 0.761
```

Summary:
* formation energy from the elements: -460 meV/atom

---

# La2ZrAl

La2ZrAl after structural relaxation (GGA-PBE, Alexandria via LeMat-Bulk).

Structure (POSCAR):
```
La2ZrAl
1.0
-2.129 2.536 5.149
2.129 -2.536 5.149
2.129 2.536 -5.149
La Zr Al
2 1 1
Direct
0.000 0.000 0.000
0.719 0.219 0.500
0.278 0.778 0.500
0.468 0.468 0.000
```

Summary:
* formation energy from the elements: -86 meV/atom

---

# RePdPb2

RePdPb2 after structural relaxation (GGA-PBE, Alexandria via LeMat-Bulk).

Structure (POSCAR):
```
RePdPb2
1.0
-2.215 2.215 9.303
2.215 -2.215 9.303
2.215 2.215 -9.303
Re Pd Pb
2 2 4
Direct
0.000 0.000 0.000
0.750 0.250 0.500
0.250 0.750 0.500
0.500 0.500 0.000
0.124 0.625 0.999
0.375 0.374 0.499
0.626 0.125 0.001
0.875 0.876 0.501
```

Summary:
* formation energy from the elements: 915 meV/atom
* ΔE to the lowest computed polymorph: 233 meV/atom

---

# Er3Cd2Pd2

Er3Cd2Pd2 after structural relaxation (GGA-PBE, Alexandria via LeMat-Bulk).

Structure (POSCAR):
```
Er3Cd2Pd2
1.0
2.002 -11.123 0.000
2.002 11.123 0.000
0.000 0.000 3.650
Er Cd Pd
3 2 2
Direct
0.000 0.000 0.000
0.169 0.831 0.000
0.831 0.169 0.000
0.420 0.580 0.500
0.580 0.420 0.500
0.291 0.709 0.500
0.709 0.291 0.500
```

Summary:
* formation energy from the elements: -620 meV/atom

---

# Mg3FeGe

Mg3FeGe after structural relaxation (GGA-PBE, Alexandria via LeMat-Bulk).

Structure (POSCAR):
```
Mg3FeGe
1.0
4.793 0.000 0.000
0.000 4.793 0.000
0.000 0.000 4.793
Mg Fe Ge
3 1 1
Direct
0.000 0.000 0.500
0.000 0.500 0.000
0.500 0.000 0.000
0.000 0.000 0.000
0.500 0.500 0.500
```

Summary:
* formation energy from the elements: 666 meV/atom
* ΔE to the lowest computed polymorph: 3 meV/atom

---

# TbPr2Nd6Ho3

TbPr2Nd6Ho3 after structural relaxation (GGA-PBE, Alexandria via LeMat-Bulk).

Structure (POSCAR):
```
TbPr2Nd6Ho3
1.0
3.156 -5.467 0.000
3.156 5.467 0.000
-2.102 0.000 11.820
Tb Pr Nd Ho
1 2 6 3
Direct
0.000 0.000 0.000
0.333 0.667 0.000
0.667 0.333 0.000
0.085 0.417 0.254
0.248 0.248 0.746
0.417 0.085 0.254
0.583 0.915 0.746
0.752 0.752 0.254
0.915 0.583 0.746
0.166 0.834 0.500
0.500 0.500 0.500
0.834 0.166 0.500
```

Summary:
* formation energy from the elements: 15 meV/atom

---

# SbIrSeI2

SbIrSeI2 after structural relaxation (GGA-PBE, Alexandria via LeMat-Bulk).

Structure (POSCAR):
```
SbIrSeI2
1.0
5.436 0.000 0.000
0.000 5.436 0.000
0.000 0.000 5.089
Sb Ir Se I
1 1 1 2
Direct
0.000 0.000 0.000
0.000 0.000 0.500
0.500 0.500 0.000
0.000 0.500 0.500
0.500 0.000 0.500
```

Summary:
* ΔE to the lowest computed polymorph: 0 meV/atom
* E_form (uncorrected): 0.59 eV per atom

---

# Rb2Co2Rh

Rb2Co2Rh after structural relaxation (GGA-PBE, Alexandria via LeMat-Bulk).

Structure (POSCAR):
```
Rb2Co2Rh
1.0
6.328 0.000 0.000
0.000 6.328 0.000
0.000 0.000 5.767
Rb Co Rh
4 4 2
Direct
0.187 0.313 0.000
0.313 0.813 0.000
0.687 0.187 0.000
0.813 0.687 0.000
0.126 0.626 0.500
0.374 0.126 0.500
0.626 0.874 0.500
0.874 0.374 0.500
0.000 0.000 0.500
0.500 0.500 0.500
```

Summary:
* formation energy from the elements: 807 meV/atom
* ΔE to the lowest computed polymorph: 0 meV/atom